# 1
Computed, not measured: a relaxed LaGe2Rh4 crystal at the PBE-GGA level of DFT.

The structure in extended XYZ format:
```
28
Lattice="-1.6598 -1.3164 3.6015 -5.6694 -1.5430 -3.1768 5.9585 -15.7182 -2.9993" Properties=species:S:1:pos:R:3 pbc="T T T"
Rh -0.2229 -12.1517 -3.3326
Rh -3.5542 -6.8903 -0.5209
Rh 5.0309 -14.9432 -1.9316
Rh 1.9672 -8.8787 -1.1268
Rh -0.5353 -3.7573 -0.4082
Rh 0.9190 -17.2103 -2.2315
Rh -3.9293 -4.4905 -2.2403
Rh -2.2898 -1.3673 -0.3431
Rh 2.5585 -14.0871 -0.3343
Rh -1.1478 -6.4259 0.7579
Rh -3.3380 -9.6989 -1.4478
Rh -0.8354 -14.8203 -2.1665
Rh -6.4016 -3.6344 -0.6430
Rh -0.6125 -7.8092 -1.9248
Rh -0.7583 -10.7684 -0.6499
Rh 2.1835 -11.6873 -2.0538
La 1.8761 -14.6496 -3.2782
La -3.2469 -3.9280 0.7036
La 2.5482 -11.0207 0.7818
La -3.9190 -7.5569 -3.3564
Ge 0.3133 -12.9644 -0.9587
Ge 3.1818 -16.4788 -0.9213
Ge -1.6841 -5.6132 -1.6160
Ge -1.3600 -9.8998 -3.0335
Ge -1.2766 -14.1722 -4.5567
Ge -0.0942 -4.4054 1.9820
Ge -0.0108 -8.6778 0.4588
Ge -4.5525 -2.0988 -1.6533
```

Computed properties:
Energy of formation from the pure elements in meV per atom: -665
Space-group type: Pnma
Final energy in eV/atom: -6.89
Relative energy among the computed polymorphs in meV per atom: 30


# 2
Computed, not measured: a relaxed Tm5SbPb2 crystal at the PBE-GGA level of DFT.

The structure in extended XYZ format:
```
16
Lattice="-2.0375 -5.4647 -0.2536 2.1091 2.5928 -5.6262 12.6423 -4.8302 2.5133" Properties=species:S:1:pos:R:3 pbc="T T T"
Pb 8.3074 -3.0638 -0.7225
Pb 11.5233 -4.2925 -0.0832
Pb 1.1907 -3.4096 -3.2833
Pb 4.4066 -4.6383 -2.6440
Tm 1.4626 -0.5175 -0.6004
Tm 11.3182 -7.3776 0.8558
Tm 1.3958 -0.3245 -4.2224
Tm 7.5299 -5.7628 -3.5060
Tm 5.1841 -1.9393 0.1394
Tm 11.2514 -7.1846 -2.7661
Tm 6.5691 -2.3010 -3.1939
Tm 2.2908 -3.9590 -0.2844
Tm 6.1449 -5.4011 -0.1726
Tm 10.4232 -3.7431 -3.0821
Sb 3.7497 -1.2829 -2.4802
Sb 8.9643 -6.4191 -0.8864
```

Computed properties:
E_form (uncorrected) in eV/atom: -0.221
Space-group type: Cmcm
Final energy in eV/atom: -4.46


# 3
Computed, not measured: a relaxed Sc4GeOsO crystal at the PBE-GGA level of DFT.

The structure in extended XYZ format:
```
14
Lattice="-0.0289 -1.5804 -5.7618 -1.4062 -5.5968 1.5422 -6.8661 2.4064 2.4721" Properties=species:S:1:pos:R:3 pbc="T T T"
Sc -4.1507 -2.3854 -0.8737
Sc -4.1362 -1.5952 2.0072
Sc -2.1718 -3.9352 1.0903
Sc -1.2545 -1.9807 -2.5481
Sc -6.1295 -0.8356 -2.8377
Sc -7.0468 -2.7901 0.8007
Sc -3.4475 0.4130 -1.6448
Sc -3.4331 1.2032 1.2361
Ge -1.9059 -1.0341 0.2932
Ge -6.3954 -3.7367 -2.0406
Os -5.6112 -0.1638 0.0731
Os -2.6901 -4.6071 -1.8205
O -3.9079 -1.3575 -2.7057
O -4.3934 -3.4133 0.9583
```

Computed properties:
E_form (uncorrected) in eV/atom: -1.126
Space-group type: Cmcm
Final energy in eV/atom: -7.72


# 4
Computed, not measured: a relaxed FeNiRu2 crystal at the PBE-GGA level of DFT.

The structure in extended XYZ format:
```
4
Lattice="8.6020 0.0030 0.0017 8.1962 2.6110 0.0017 8.1962 1.2754 2.2783" Properties=species:S:1:pos:R:3 pbc="T T T"
Ni 18.7458 2.9171 1.7114
Ru 24.9766 3.8866 2.2802
Ru 12.5151 1.9475 1.1425
Fe 6.2486 0.9724 0.5705
```

Computed properties:
Energy of formation from the pure elements in meV per atom: 163
Space-group type: R-3m
Final energy in eV/atom: -8.04


Which of these has the highest final energy? Tm5SbPb2


Repeat the fourth record exactly.
Computed, not measured: a relaxed FeNiRu2 crystal at the PBE-GGA level of DFT.

The structure in extended XYZ format:
```
4
Lattice="8.6020 0.0030 0.0017 8.1962 2.6110 0.0017 8.1962 1.2754 2.2783" Properties=species:S:1:pos:R:3 pbc="T T T"
Ni 18.7458 2.9171 1.7114
Ru 24.9766 3.8866 2.2802
Ru 12.5151 1.9475 1.1425
Fe 6.2486 0.9724 0.5705
```

Computed properties:
Energy of formation from the pure elements in meV per atom: 163
Space-group type: R-3m
Final energy in eV/atom: -8.04